*a*
HfMgZnPt: relaxed, GGA-PBE.

The space group is F-43m (No. 216) and the conventional cell measures 6.446, 6.446 and 6.446 Å, with angles of 90.00, 90.00 and 90.00 degrees. The distinct sites, in fractional coordinates, are Hf at (0.000, 0.000, 0.000), Mg at (0.250, 0.250, 0.750), Zn at (0.000, 0.000, 0.500) and Pt at (0.250, 0.250, 0.250).

The value obtained for the magnetization is 0.0 Bohr magnetons per cell. For the volume, the calculation gives 16.7 Å³ per atom. The calculated density comes out at 11.491 g/cm3.


*b*
HfMgZnPt: relaxed, GGA-PBE.

The space group is F-43m (No. 216) and the conventional cell measures 6.424, 6.424 and 6.424 Å, with angles of 90.00, 90.00 and 90.00 degrees. The distinct sites, in fractional coordinates, are Hf at (0.000, 0.000, 0.000), Mg at (0.250, 0.250, 0.250), Zn at (0.250, 0.250, 0.750) and Pt at (0.000, 0.000, 0.500).

The value obtained for the magnetization is 0.0 Bohr magnetons per cell. For the volume, the calculation gives 16.6 Å³ per atom. The calculated density comes out at 11.609 g/cm3.


*c*
HfMgZnPt: relaxed, GGA-PBE.

The space group is F-43m (No. 216) and the conventional cell measures 6.497, 6.497 and 6.497 Å, with angles of 90.00, 90.00 and 90.00 degrees. The distinct sites, in fractional coordinates, are Hf at (0.000, 0.000, 0.000), Mg at (0.000, 0.000, 0.500), Zn at (0.250, 0.250, 0.250) and Pt at (0.250, 0.250, 0.750).

The value obtained for the magnetization is 0.0 Bohr magnetons per cell. For the volume, the calculation gives 17.1 Å³ per atom. The calculated density comes out at 11.223 g/cm3.


Which one is most stable, and which one is least stable? *c* is the most stable of them, while *b* is the least stable.


*a*
RbHfMg: relaxed, GGA-PBE.

The space group is F-43m (No. 216) and the conventional cell measures 7.777, 7.777 and 7.777 Å, with angles of 90.00, 90.00 and 90.00 degrees. The distinct sites, in fractional coordinates, are Rb at (0.000, 0.000, 0.000), Hf at (0.000, 0.000, 0.500) and Mg at (0.250, 0.250, 0.750).

The value obtained for the magnetization is 8.5 Bohr magnetons per cell. For the volume, the calculation gives 39.2 Å³ per atom. The calculated density comes out at 4.071 g/cm3.


*b*
RbHfMg: relaxed, GGA-PBE.

The space group is F-43m (No. 216) and the conventional cell measures 7.684, 7.684 and 7.684 Å, with angles of 90.00, 90.00 and 90.00 degrees. The distinct sites, in fractional coordinates, are Rb at (0.000, 0.000, 0.000), Hf at (0.250, 0.250, 0.750) and Mg at (0.250, 0.250, 0.250).

The value obtained for the magnetization is 6.1 Bohr magnetons per cell. For the volume, the calculation gives 37.8 Å³ per atom. The calculated density comes out at 4.220 g/cm3.


Which one is most stable, and which one is least stable? *a* is the most stable of them, while *b* is the least stable.


*a*
HfMgReSb: relaxed, GGA-PBE.

The space group is F-43m (No. 216) and the conventional cell measures 6.617, 6.617 and 6.617 Å, with angles of 90.00, 90.00 and 90.00 degrees. The distinct sites, in fractional coordinates, are Hf at (0.000, 0.000, 0.000), Mg at (0.250, 0.250, 0.750), Re at (0.250, 0.250, 0.250) and Sb at (0.000, 0.000, 0.500).

The value obtained for the magnetization is 0.0 Bohr magnetons per cell. For the volume, the calculation gives 18.1 Å³ per atom. The calculated density comes out at 11.707 g/cm3.


*b*
HfMgReSb: relaxed, GGA-PBE.

The space group is F-43m (No. 216) and the conventional cell measures 6.669, 6.669 and 6.669 Å, with angles of 90.00, 90.00 and 90.00 degrees. The distinct sites, in fractional coordinates, are Hf at (0.000, 0.000, 0.000), Mg at (0.250, 0.250, 0.250), Re at (0.000, 0.000, 0.500) and Sb at (0.250, 0.250, 0.750).

The value obtained for the magnetization is 0.0 Bohr magnetons per cell. For the volume, the calculation gives 18.5 Å³ per atom. The calculated density comes out at 11.440 g/cm3.


Which one is most stable, and which one is least stable? *a* is the most stable of them, while *b* is the least stable.


*a*
HfMgSb: relaxed, GGA-PBE.

The space group is P4/nmm (No. 129, origin choice 2) and the conventional cell measures 4.320, 4.320 and 7.385 Å, with angles of 90.00, 90.00 and 90.00 degrees. The distinct sites, in fractional coordinates, are Hf at (0.250, 0.750, 0.000), Mg at (0.250, 0.250, 0.318) and Sb at (0.250, 0.250, 0.711).

The value obtained for the magnetization is 0.0 Bohr magnetons per cell. For the volume, the calculation gives 23.0 Å³ per atom. The calculated density comes out at 7.821 g/cm3.


*b*
HfMgSb: relaxed, GGA-PBE.

The space group is F-43m (No. 216) and the conventional cell measures 6.742, 6.742 and 6.742 Å, with angles of 90.00, 90.00 and 90.00 degrees. The distinct sites, in fractional coordinates, are Hf at (0.000, 0.000, 0.000), Mg at (0.000, 0.000, 0.500) and Sb at (0.250, 0.250, 0.250).

The value obtained for the magnetization is 2.9 Bohr magnetons per cell. For the volume, the calculation gives 25.5 Å³ per atom. The calculated density comes out at 7.034 g/cm3.


Which one is most stable, and which one is least stable? *a* is the most stable of them, while *b* is the least stable.


*a*
HfMgTcSb: relaxed, GGA-PBE.

The space group is F-43m (No. 216) and the conventional cell measures 6.668, 6.668 and 6.668 Å, with angles of 90.00, 90.00 and 90.00 degrees. The distinct sites, in fractional coordinates, are Hf at (0.000, 0.000, 0.000), Mg at (0.250, 0.250, 0.250), Tc at (0.000, 0.000, 0.500) and Sb at (0.250, 0.250, 0.750).

The value obtained for the magnetization is 0.0 Bohr magnetons per cell. For the volume, the calculation gives 18.5 Å³ per atom. The calculated density comes out at 9.465 g/cm3.


*b*
HfMgTcSb: relaxed, GGA-PBE.

The space group is F-43m (No. 216) and the conventional cell measures 6.608, 6.608 and 6.608 Å, with angles of 90.00, 90.00 and 90.00 degrees. The distinct sites, in fractional coordinates, are Hf at (0.000, 0.000, 0.000), Mg at (0.250, 0.250, 0.750), Tc at (0.250, 0.250, 0.250) and Sb at (0.000, 0.000, 0.500).

The value obtained for the magnetization is 0.0 Bohr magnetons per cell. For the volume, the calculation gives 18.0 Å³ per atom. The calculated density comes out at 9.728 g/cm3.


Which one is most stable, and which one is least stable? *b* is the most stable of them, while *a* is the least stable.


*a*
HfMgTaTc: relaxed, GGA-PBE.

The space group is F-43m (No. 216) and the conventional cell measures 6.587, 6.587 and 6.587 Å, with angles of 90.00, 90.00 and 90.00 degrees. The distinct sites, in fractional coordinates, are Hf at (0.000, 0.000, 0.000), Mg at (0.250, 0.250, 0.750), Ta at (0.000, 0.000, 0.500) and Tc at (0.250, 0.250, 0.250).

The value obtained for the magnetization is 0.0 Bohr magnetons per cell. For the volume, the calculation gives 17.9 Å³ per atom. The calculated density comes out at 11.196 g/cm3.


*b*
HfMgTaTc: relaxed, GGA-PBE.

The space group is F-43m (No. 216) and the conventional cell measures 6.580, 6.580 and 6.580 Å, with angles of 90.00, 90.00 and 90.00 degrees. The distinct sites, in fractional coordinates, are Hf at (0.000, 0.000, 0.000), Mg at (0.250, 0.250, 0.250), Ta at (0.250, 0.250, 0.750) and Tc at (0.000, 0.000, 0.500).

The value obtained for the magnetization is 0.0 Bohr magnetons per cell. For the volume, the calculation gives 17.8 Å³ per atom. The calculated density comes out at 11.234 g/cm3.


Which one is most stable, and which one is least stable? *a* is the most stable of them, while *b* is the least stable.